DFT (PBE-GGA) results for an optimized crystal structure of LaDyTm2Se4.

Cell lengths 7.125, 5.820, 7.126 Å; angles 65.89, 48.20, 65.90 degrees
Fractional coordinates of all 8 atoms:
La  0.000  0.000  0.000
Dy  0.501  0.501  0.499
Tm  0.250  0.250  0.250
Tm  0.750  0.750  0.750
Se  0.001  0.500  0.999
Se  0.257  0.744  0.256
Se  0.500  0.001  0.500
Se  0.744  0.257  0.743

Summary:
SG: Fmm2 (42)
raw total energy: -5.778 eV/atom
raw formation energy: -1726 meV per atom

DFT (PBE-GGA) results for an optimized crystal structure of CeZrTiNb.

Cell lengths 4.951, 4.951, 4.951 Å; angles 60.00, 60.00, 60.00 degrees
Fractional coordinates of all 4 atoms:
Ce  0.000  0.000  0.000
Zr  0.500  0.500  0.500
Ti  0.250  0.250  0.250
Nb  0.750  0.750  0.750

Summary:
SG: F-43m (216)
raw total energy: -7.933 eV/atom
DFT formation energy: 0.71 eV/f.u.

DFT (PBE-GGA) results for an optimized crystal structure of La2Ho3ThSe6.

Cell lengths 9.417, 9.417, 8.458 Å; angles 105.57, 105.57, 25.18 degrees
Fractional coordinates of all 12 atoms:
La  0.163  0.163  0.327
La  0.837  0.837  0.673
Ho  0.167  0.167  0.833
Ho  0.500  0.500  0.500
Ho  0.833  0.833  0.167
Th  0.500  0.500  0.000
Se  0.007  0.007  0.742
Se  0.330  0.330  0.931
Se  0.336  0.336  0.406
Se  0.664  0.664  0.594
Se  0.670  0.670  0.069
Se  0.993  0.993  0.258

Summary:
SG: C2/m (12)
raw total energy: -6.108 eV/atom
raw formation energy: -1782 meV per atom

DFT (PBE-GGA) results for an optimized crystal structure of KMg.

Cell lengths 4.397, 5.489, 7.677 Å; angles 90.00, 106.53, 90.00 degrees
Fractional coordinates of all 4 atoms:
K  0.159  0.250  0.321
K  0.841  0.750  0.679
Mg  0.455  0.250  0.898
Mg  0.545  0.750  0.102

Summary:
SG: P2_1/m (11)
raw total energy: -1.148 eV/atom
DFT formation energy: 0.40 eV/f.u.

DFT (PBE-GGA) results for an optimized crystal structure of ErHgPb3.

Cell lengths 4.582, 5.946, 6.075 Å; angles 78.44, 68.40, 67.39 degrees
Fractional coordinates of all 5 atoms:
Er  0.000  0.000  0.000
Hg  0.218  0.386  0.179
Pb  0.398  0.796  0.402
Pb  0.624  0.181  0.576
Pb  0.792  0.590  0.823

Summary:
SG: P1 (1)
raw total energy: -3.346 eV/atom
DFT formation energy: -0.74 eV/f.u.

DFT (PBE-GGA) results for an optimized crystal structure of TcOsBr3.

Cell lengths 5.067, 5.067, 5.067 Å; angles 90.00, 90.00, 90.00 degrees
Fractional coordinates of all 5 atoms:
Tc  0.000  0.000  0.000
Os  0.500  0.500  0.500
Br  0.000  0.500  0.500
Br  0.500  0.000  0.500
Br  0.500  0.500  0.000

Summary:
SG: Pm-3m (221)
raw total energy: -4.050 eV/atom
raw formation energy: 1272 meV per atom

DFT (PBE-GGA) results for an optimized crystal structure of RbAl9Ag4.

Cell lengths 9.224, 9.224, 9.224 Å; angles 121.37, 121.37, 87.64 degrees
Fractional coordinates of all 28 atoms:
Rb  0.250  0.250  0.000
Rb  0.750  0.750  0.000
Al  0.000  0.500  0.500
Al  0.054  0.554  0.255
Al  0.067  0.797  0.864
Al  0.201  0.946  0.500
Al  0.203  0.067  0.271
Al  0.297  0.567  0.864
Al  0.299  0.799  0.745
Al  0.433  0.297  0.729
Al  0.446  0.701  0.500
Al  0.500  0.000  0.500
Al  0.554  0.299  0.500
Al  0.567  0.703  0.271
Al  0.701  0.201  0.255
Al  0.703  0.433  0.136
Al  0.797  0.933  0.729
Al  0.799  0.054  0.500
Al  0.933  0.203  0.136
Al  0.946  0.446  0.745
Ag  0.049  0.202  0.500
Ag  0.202  0.702  0.153
Ag  0.298  0.451  0.500
Ag  0.451  0.951  0.153
Ag  0.549  0.049  0.847
Ag  0.702  0.549  0.500
Ag  0.798  0.298  0.847
Ag  0.951  0.798  0.500

Summary:
SG: I4/mcm (140)
raw total energy: -3.309 eV/atom
DFT formation energy: -0.27 eV/f.u.

DFT (PBE-GGA) results for an optimized crystal structure of In2CoAs.

Cell lengths 5.090, 5.090, 5.090 Å; angles 130.19, 130.19, 73.11 degrees
Fractional coordinates of all 4 atoms:
In  0.250  0.750  0.500
In  0.750  0.250  0.500
Co  0.000  0.000  0.000
As  0.500  0.500  0.000

Summary:
SG: I4/mmm (139)
raw total energy: -3.913 eV/atom
DFT formation energy: 1.58 eV/f.u.

> The lowest raw total energy belongs to which entry?

CeZrTiNb

> Number 4 is which compound?

KMg

> raw total energy of number 1 (LaDyTm2Se4)?

-5.778 eV/atom